NiPt2Cl2 after structural relaxation. Source: Alexandria, functional PBE-GGA.

Results
As for the uncorrected formation energy: 427 kJ/mol of formula units. The calculation puts the total magnetization at 3.162 Bohr magnetons per cell. The calculation puts the calculated density at 9.224 g/cm³.

a = 6.6222 Å, b = 6.6222 Å, c = 6.6222 Å
α = 145.32°, β = 145.32°, γ = 49.86°
Closest atoms and distances in Å follow each position.
Fractional coordinates of all 5 atoms:
Cl: 0.7500 0.2500 0.5000  4 Pt 2.65, 4 Cl 2.79
Pt: 0.6033 0.6033 0.0000  1 Pt 2.48, 4 Cl 2.65
Ni: 0.0000 0.0000 0.0000  8 Pt 3.05
Cl: 0.2500 0.7500 0.5000  4 Pt 2.65, 4 Cl 2.79
Pt: 0.3967 0.3967 0.0000  1 Pt 2.48, 4 Cl 2.65



NiPt2Cl after structural relaxation. Source: Alexandria, functional PBE-GGA.

Results
As for the uncorrected formation energy: 177 kJ/mol of formula units. The calculation puts the total magnetization at 0.002 Bohr magnetons per cell. For the relative energy among the computed polymorphs, the calculation gives 313.5 meV/atom. The calculation puts the calculated density at 13.005 g/cm³.

a = 5.3738 Å, b = 5.3738 Å, c = 5.3738 Å
α = 149.57°, β = 127.44°, γ = 61.96°
Closest atoms and distances in Å follow each position.
Fractional coordinates of all 4 atoms:
Ni: 0.2581 0.7581 0.5000  2 Cl 2.25, 2 Pt 2.50
Pt: 0.7597 0.2597 0.5000  4 Ni 2.77, 4 Pt 2.82-2.89, 2 Cl 2.95
Cl: 0.4482 0.4482 0.0000  2 Ni 2.25
Pt: 0.0340 0.0340 0.0000  2 Ni 2.50



NiPt2Cl after structural relaxation. Source: Alexandria, functional PBE-GGA.

Results
As for the uncorrected formation energy: 245 kJ/mol of formula units. The calculation puts the total magnetization at 2.057 Bohr magnetons per cell. For the relative energy among the computed polymorphs, the calculation gives 488.6 meV/atom. The calculation puts the calculated density at 13.004 g/cm³.

a = 4.8058 Å, b = 4.8058 Å, c = 4.8058 Å
α = 131.00°, β = 131.00°, γ = 71.82°
Closest atoms and distances in Å follow each position.
Fractional coordinates of all 4 atoms:
Ni: 0.7500 0.2500 0.5000  8 Pt 2.79, 4 Cl 2.82
Pt: 0.0000 0.0000 0.0000  4 Cl 2.79, 4 Ni 2.79, 4 Pt 2.82
Cl: 0.2500 0.7500 0.5000  8 Pt 2.79, 4 Ni 2.82
Pt: 0.5000 0.5000 0.0000  4 Ni 2.79, 4 Cl 2.79, 4 Pt 2.82



NiPt2Cl after structural relaxation. Source: Alexandria, functional PBE-GGA.

Results
As for the uncorrected formation energy: 265 kJ/mol of formula units. The calculation puts the total magnetization at 1.633 Bohr magnetons per cell. For the relative energy among the computed polymorphs, the calculation gives 540.8 meV/atom. The calculation puts the calculated density at 12.730 g/cm³.

a = 4.3713 Å, b = 3.8016 Å, c = 3.8016 Å
α = 90.00°, β = 90.00°, γ = 90.00°
Closest atoms and distances in Å follow each position.
Fractional coordinates of all 4 atoms:
Cl: 0.5000 0.5000 0.0000  4 Ni 2.69, 8 Pt 2.90
Pt: 0.0000 0.5000 0.5000  4 Pt 2.69, 4 Cl 2.90, 4 Ni 2.90
Pt: 0.0000 0.0000 0.0000  4 Pt 2.69, 4 Cl 2.90, 4 Ni 2.90
Ni: 0.5000 0.0000 0.5000  4 Cl 2.69, 8 Pt 2.90



Ni2PtCl after structural relaxation. Source: Alexandria, functional PBE-GGA.

Results
As for the uncorrected formation energy: 83 kJ/mol of formula units. The calculation puts the total magnetization at 2.206 Bohr magnetons per cell. For the relative energy among the computed polymorphs, the calculation gives 167.5 meV/atom. The calculation puts the calculated density at 10.181 g/cm³.

a = 2.8947 Å, b = 2.8947 Å, c = 6.7725 Å
α = 90.00°, β = 90.00°, γ = 90.00°
Closest atoms and distances in Å follow each position.
Fractional coordinates of all 4 atoms:
Ni: 0.0000 0.0000 0.0071  4 Pt 2.63, 4 Cl 2.69, 4 Ni 2.89
Pt: 0.5000 0.5000 0.2500  8 Ni 2.63, 4 Pt 2.89
Ni: 0.0000 0.0000 0.4929  4 Pt 2.63, 4 Cl 2.69, 4 Ni 2.89
Cl: 0.5000 0.5000 0.7500  8 Ni 2.69, 4 Cl 2.89



NiPt2Cl after structural relaxation. Source: Alexandria, functional PBE-GGA.

Results
As for the uncorrected formation energy: 233 kJ/mol of formula units. The calculation puts the total magnetization at 2.008 Bohr magnetons per cell. For the relative energy among the computed polymorphs, the calculation gives 459.6 meV/atom. The calculation puts the calculated density at 12.007 g/cm³.

a = 7.2144 Å, b = 7.2144 Å, c = 5.7138 Å
α = 50.85°, β = 50.85°, γ = 90.00°
Closest atoms and distances in Å follow each position.
Fractional coordinates of all 8 atoms:
Pt: 0.3750 0.3438 0.7500  2 Ni 2.48, 2 Pt 2.61
Pt: 0.6562 0.1250 0.2500  2 Ni 2.48, 2 Pt 2.61
Pt: 0.8750 0.9062 0.7500  2 Ni 2.48, 2 Pt 2.61
Cl: 0.5000 0.5000 0.0000  2 Ni 2.57, 4 Pt 2.79
Pt: 0.0938 0.6250 0.2500  2 Ni 2.48, 2 Pt 2.61
Ni: 0.7500 0.2500 0.5000  4 Pt 2.48, 2 Cl 2.57
Ni: 0.0000 0.0000 0.0000  4 Pt 2.48, 2 Cl 2.57
Cl: 0.2500 0.7500 0.5000  2 Ni 2.57, 4 Pt 2.79



NiPt4Cl after structural relaxation. Source: Alexandria, functional PBE-GGA.

Results
As for the uncorrected formation energy: 357 kJ/mol of formula units. The calculation puts the total magnetization at 1.777 Bohr magnetons per cell. The calculation puts the calculated density at 13.787 g/cm³.

a = 5.3009 Å, b = 5.3009 Å, c = 5.3009 Å
α = 60.00°, β = 60.00°, γ = 60.00°
Closest atoms and distances in Å follow each position.
Fractional coordinates of all 6 atoms:
Pt: 0.3746 0.8762 0.3746  6 Pt 2.64-2.66
Pt: 0.8762 0.3746 0.3746  6 Pt 2.64-2.66
Cl: 0.7500 0.7500 0.7500  12 Pt 3.11, 4 Ni 3.25
Pt: 0.3746 0.3746 0.8762  6 Pt 2.64-2.66
Ni: 0.0000 0.0000 0.0000  12 Pt 3.11, 4 Cl 3.25
Pt: 0.3746 0.3746 0.3746  6 Pt 2.64-2.66



NiPt2Cl after structural relaxation. Source: Alexandria, functional PBE-GGA.

Results
As for the uncorrected formation energy: 252 kJ/mol of formula units. The calculation puts the total magnetization at 0.952 Bohr magnetons per cell. For the relative energy among the computed polymorphs, the calculation gives 508.1 meV/atom. The calculation puts the calculated density at 13.308 g/cm³.

a = 4.4048 Å, b = 4.4048 Å, c = 4.4048 Å
α = 60.00°, β = 60.00°, γ = 60.00°
Closest atoms and distances in Å follow each position.
Fractional coordinates of all 4 atoms:
Pt: 0.2500 0.2500 0.2500  4 Cl 2.70, 4 Ni 2.70
Pt: 0.7500 0.7500 0.7500  4 Cl 2.70, 4 Ni 2.70
Ni: 0.5000 0.5000 0.5000  8 Pt 2.70
Cl: 0.0000 0.0000 0.0000  8 Pt 2.70



NiPt2Cl after structural relaxation. Source: Alexandria, functional PBE-GGA.

Results
As for the uncorrected formation energy: 165 kJ/mol of formula units. The calculation puts the total magnetization at 1.439 Bohr magnetons per cell. For the relative energy among the computed polymorphs, the calculation gives 281.8 meV/atom. The calculation puts the calculated density at 12.869 g/cm³.

a = 4.5994 Å, b = 2.9464 Å, c = 4.6117 Å
α = 89.52°, β = 90.00°, γ = 90.00°
Closest atoms and distances in Å follow each position.
Fractional coordinates of all 4 atoms:
Ni: 0.5000 0.7500 0.7500  4 Pt 2.66, 4 Cl 2.73-2.75, 2 Ni 2.95
Cl: 0.5000 0.2500 0.2500  4 Pt 2.70, 4 Ni 2.73-2.75, 2 Cl 2.95
Pt: 0.0000 0.9932 0.9929  2 Ni 2.66, 6 Pt 2.67-2.95, 2 Cl 2.70
Pt: 0.0000 0.5068 0.5071  2 Ni 2.66, 6 Pt 2.67-2.95, 2 Cl 2.70



Ni2PtCl8 after structural relaxation. Source: Alexandria, functional PBE-GGA.

Results
As for the uncorrected formation energy: -380 kJ/mol of formula units. The calculation puts the total magnetization at 4.047 Bohr magnetons per cell. The calculation puts the calculated density at 2.937 g/cm³.

a = 7.6412 Å, b = 7.1655 Å, c = 7.3078 Å
α = 94.60°, β = 90.00°, γ = 122.22°
Closest atoms and distances in Å follow each position.
Fractional coordinates of all 11 atoms:
Cl: 0.9339 0.8679 0.3064  2 Ni 2.43-2.57, 1 Pt 2.45
Cl: 0.3024 0.6047 0.4862  1 Ni 2.13
Pt: 0.0000 0.0000 0.0000  6 Cl 2.35-2.45
Cl: 0.6976 0.3953 0.5138  1 Ni 2.13
Cl: 0.6674 0.7510 0.8626  1 Ni 2.33, 1 Pt 2.35
Cl: 0.0836 0.7510 0.8626  1 Ni 2.33, 1 Pt 2.35
Cl: 0.0661 0.1321 0.6936  2 Ni 2.43-2.57, 1 Pt 2.45
Ni: 0.1342 0.2683 0.3713  3 Cl 2.13-2.33
Cl: 0.3326 0.2490 0.1374  1 Ni 2.33, 1 Pt 2.35
Cl: 0.9164 0.2490 0.1374  1 Ni 2.33, 1 Pt 2.35
Ni: 0.8658 0.7317 0.6287  3 Cl 2.13-2.33



NiPt2Cl after structural relaxation. Source: Alexandria, functional PBE-GGA.

Results
As for the uncorrected formation energy: 101 kJ/mol of formula units. The calculation puts the total magnetization at 1.962 Bohr magnetons per cell. For the relative energy among the computed polymorphs, the calculation gives 115.7 meV/atom. The calculation puts the calculated density at 12.333 g/cm³.

a = 2.8476 Å, b = 2.8474 Å, c = 8.0426 Å
α = 90.00°, β = 90.00°, γ = 90.00°
Closest atoms and distances in Å follow each position.
Fractional coordinates of all 4 atoms:
Pt: 0.5000 0.5000 0.2092  8 Pt 2.79-2.85
Pt: 0.0000 0.0000 0.9685  4 Ni 2.66, 8 Pt 2.79-2.85
Cl: 0.0000 0.0000 0.5692  4 Ni 2.50
Ni: 0.5000 0.5000 0.7531  4 Cl 2.50, 4 Pt 2.66



Ni2PtCl after structural relaxation. Source: Alexandria, functional PBE-GGA.

Results
As for the uncorrected formation energy: 164 kJ/mol of formula units. The calculation puts the total magnetization at 1.878 Bohr magnetons per cell. For the relative energy among the computed polymorphs, the calculation gives 377.4 meV/atom. The calculation puts the calculated density at 10.235 g/cm³.

a = 5.2299 Å, b = 5.2299 Å, c = 5.2299 Å
α = 149.13°, β = 129.12°, γ = 60.70°
Closest atoms and distances in Å follow each position.
Fractional coordinates of all 4 atoms:
Ni: 0.9986 0.9986 0.0000  2 Cl 2.46, 2 Ni 2.49, 4 Pt 2.64
Pt: 0.5086 0.5086 0.0000  6 Ni 2.64-2.74, 2 Pt 2.78, 2 Cl 2.93
Cl: 0.2234 0.7234 0.5000  6 Ni 2.46-2.68
Ni: 0.7694 0.2694 0.5000  4 Ni 2.49-2.78, 4 Cl 2.68, 2 Pt 2.74



Question: Which of these has the highest uncorrected formation energy?
Answer: NiPt2Cl2